The following is a PBE with a Hubbard U calculation of an optimized crystal structure of Na5CoAuO2, from the Alexandria database.

POSCAR file:
```
Na5CoAuO2
1.0
-4.0387 -1.6175 -1.8685
2.4712 -2.6060 -3.0856
0.0451 -6.3270 5.3797
Na O Au Co
5 2 1 1
Cartesian
1.2461 -2.7741 -0.2919
-1.9847 -5.6646 3.1946
0.0226 -3.1635 2.6899
-2.0089 -2.2799 0.3166
1.2702 -6.1589 2.5861
0.0354 -4.9690 4.2250
0.0097 -1.3580 1.1547
-0.7612 -5.2752 0.2128
0.0000 0.0000 0.0000
```

As for the density of states at the Fermi level: 0.27 states/eV/atom. The total magnetization comes out at 2.6 μB/cell. For the electronic total energy, the calculation gives -3.57 eV per atom.